Entry 1:
Computed, not measured: crystalline La5CeHo at its relaxed geometry at the PBE-GGA level of DFT.

abc: 6.2483 6.2519 7.2679
angles: 98.54 98.44 113.49
With the nearest neighbours (Å) after each atom.
Fractional coordinates of all 7 atoms:
La 0.0000 0.0000 0.0000  8 La 3.53-3.92, 2 Ho 3.63
La 0.1394 0.5512 0.7658  1 Ce 3.25, 1 Ho 3.39, 4 La 3.50-3.55
La 0.4488 0.8624 0.2355  1 Ce 3.26, 1 Ho 3.39, 4 La 3.50-3.55
La 0.5512 0.1376 0.7645  1 Ce 3.26, 1 Ho 3.39, 4 La 3.50-3.55
La 0.8606 0.4488 0.2342  1 Ce 3.25, 1 Ho 3.39, 4 La 3.50-3.55
Ce 0.5000 0.5000 0.5000  4 La 3.25-3.26, 2 Ho 3.43
Ho 0.0000 0.0000 0.5000  6 La 3.39-3.63, 2 Ce 3.43

Values from the calculation:
space-group type	P-1 (2)

***

Entry 2:
Computed, not measured: crystalline La4CeHo8 at its relaxed geometry at the PBE-GGA level of DFT.

abc: 7.8044 7.8044 7.8044
angles: 90.21 90.21 90.21
With the nearest neighbours (Å) after each atom.
Fractional coordinates of all 13 atoms:
La 0.0000 0.0000 0.0000  8 Ho 3.26-3.27
La 0.0000 0.5000 0.5000  8 Ho 3.42
La 0.5000 0.0000 0.5000  8 Ho 3.42
La 0.5000 0.5000 0.0000  8 Ho 3.42
Ce 0.5000 0.5000 0.5000  8 Ho 3.48-3.50
Ho 0.2410 0.2410 0.7568  4 La 3.27-3.42, 1 Ce 3.50
Ho 0.2410 0.7568 0.2410  4 La 3.27-3.42, 1 Ce 3.50
Ho 0.2417 0.2417 0.2417  4 La 3.26-3.42, 1 Ce 3.48
Ho 0.2432 0.7590 0.7590  4 La 3.27-3.42, 1 Ce 3.50
Ho 0.7568 0.2410 0.2410  4 La 3.27-3.42, 1 Ce 3.50
Ho 0.7583 0.7583 0.7583  4 La 3.26-3.42, 1 Ce 3.48
Ho 0.7590 0.2432 0.7590  4 La 3.27-3.42, 1 Ce 3.50
Ho 0.7590 0.7590 0.2432  4 La 3.27-3.42, 1 Ce 3.50

Values from the calculation:
space-group type	R-3m (166)

***

Entry 3:
Computed, not measured: crystalline La7CeHo4 at its relaxed geometry at the PBE-GGA level of DFT.

abc: 6.4032 7.3622 9.0326
angles: 90.06 103.62 90.00
With the nearest neighbours (Å) after each atom.
Fractional coordinates of all 12 atoms:
La 0.0000 0.0000 0.0000  2 Ho 3.63, 8 La 3.63-3.73, 2 Ce 3.68
La 0.2245 0.0000 0.6648  7 La 3.62-3.74, 5 Ho 3.65-3.73
La 0.2797 0.2556 0.3317  6 Ho 3.57-3.79, 1 Ce 3.59, 5 La 3.62-3.74
La 0.4991 0.2605 0.9970  7 La 3.53-3.84, 3 Ho 3.57-3.62, 2 Ce 3.65-3.66
La 0.5009 0.7395 0.0030  7 La 3.53-3.84, 3 Ho 3.57-3.62, 2 Ce 3.65-3.66
La 0.7203 0.7444 0.6683  6 Ho 3.57-3.79, 1 Ce 3.59, 5 La 3.62-3.74
La 0.7755 0.0000 0.3352  7 La 3.62-3.74, 5 Ho 3.65-3.73
Ce 0.0000 0.5000 0.0000  4 Ho 3.55-3.59, 8 La 3.59-3.68
Ho 0.2141 0.4991 0.6669  4 Ho 3.57-3.71, 7 La 3.57-3.71, 1 Ce 3.59
Ho 0.2746 0.7406 0.3296  1 Ce 3.55, 8 La 3.57-3.79, 3 Ho 3.60-3.71
Ho 0.7254 0.2594 0.6704  1 Ce 3.55, 8 La 3.57-3.79, 3 Ho 3.60-3.71
Ho 0.7859 0.5009 0.3331  4 Ho 3.57-3.71, 7 La 3.57-3.71, 1 Ce 3.59

Values from the calculation:
space-group type	P-1 (2)

***

Entry 4:
Computed, not measured: crystalline La2CeHo at its relaxed geometry at the PBE-GGA level of DFT.

abc: 3.5812 3.5812 10.2061
angles: 90.00 90.00 90.00
With the nearest neighbours (Å) after each atom.
Fractional coordinates of all 4 atoms:
La 0.0000 0.0000 0.2387  4 Ce 3.51, 4 La 3.58, 4 Ho 3.68
La 0.0000 0.0000 0.7613  4 Ce 3.51, 4 La 3.58, 4 Ho 3.68
Ce 0.5000 0.5000 0.0000  8 La 3.51, 4 Ce 3.58
Ho 0.5000 0.5000 0.5000  4 Ho 3.58, 8 La 3.68

Values from the calculation:
excess energy over the best structure of this formula in the dataset	0.000	eV per atom
space-group type	P4/mmm (123)

***

Entry 5:
Computed, not measured: crystalline La2CeHo at its relaxed geometry at the PBE-GGA level of DFT.

abc: 11.9788 11.9788 11.9788
angles: 17.36 17.36 17.36
With the nearest neighbours (Å) after each atom.
Fractional coordinates of all 4 atoms:
La 0.0000 0.0000 0.0000  3 Ce 3.58, 3 Ho 3.61, 6 La 3.61
La 0.1648 0.1648 0.1648  3 Ce 3.59, 6 La 3.61, 3 Ho 3.67
Ce 0.4156 0.4156 0.4156  6 La 3.58-3.59, 6 Ce 3.61
Ho 0.5835 0.5835 0.5835  6 La 3.61-3.67, 6 Ho 3.61

Values from the calculation:
excess energy over the best structure of this formula in the dataset	0.010	eV per atom
space-group type	R3m (160)

***

Entry 6:
Computed, not measured: crystalline LaCeHo at its relaxed geometry at the PBE-GGA level of DFT.

abc: 7.9037 7.9037 7.9037
angles: 153.93 153.93 37.21
With the nearest neighbours (Å) after each atom.
Fractional coordinates of all 3 atoms:
La 0.0000 0.0000 0.0000  4 Ce 3.47, 4 La 3.57, 4 Ho 3.74
Ce 0.3406 0.3406 0.0000  4 Ho 3.44, 4 La 3.47, 4 Ce 3.57
Ho 0.6845 0.6845 0.0000  4 Ce 3.44, 4 Ho 3.57, 4 La 3.74

Values from the calculation:
excess energy over the best structure of this formula in the dataset	0.014	eV per atom
space-group type	I4mm (107)

***

Entry 7:
Computed, not measured: crystalline La2CeHo at its relaxed geometry at the PBE-GGA level of DFT.

abc: 12.7175 12.7175 12.7175
angles: 15.73 15.73 15.73
With the nearest neighbours (Å) after each atom.
Fractional coordinates of all 4 atoms:
La 0.0858 0.0858 0.0858  1 Ce 3.23, 6 La 3.48
La 0.9142 0.9142 0.9142  1 Ce 3.23, 6 La 3.48
Ce 0.0000 0.0000 0.0000  2 La 3.23, 6 Ce 3.48
Ho 0.5000 0.5000 0.5000  6 Ho 3.48, 6 La 3.65

Values from the calculation:
excess energy over the best structure of this formula in the dataset	0.118	eV per atom
space-group type	R-3m (166)

***

Entry 8:
Computed, not measured: crystalline La14CeHo at its relaxed geometry at the PBE-GGA level of DFT.

abc: 10.4987 7.3835 7.3835
angles: 90.00 90.00 90.00
With the nearest neighbours (Å) after each atom.
Fractional coordinates of all 16 atoms:
La 0.0000 0.9998 0.9998  12 La 3.68-3.73
La 0.0000 0.0015 0.4986  12 La 3.68-3.74
La 0.0000 0.4986 0.0015  12 La 3.68-3.74
La 0.0000 0.5000 0.5000  12 La 3.68-3.78
La 0.2537 0.7528 0.7528  10 La 3.65-3.75, 1 Ce 3.65, 1 Ho 3.70
La 0.2551 0.2468 0.7530  1 Ce 3.64, 10 La 3.65-3.76, 1 Ho 3.69
La 0.2551 0.7530 0.2468  1 Ce 3.64, 10 La 3.65-3.76, 1 Ho 3.69
La 0.2567 0.2466 0.2466  1 Ce 3.63, 10 La 3.65-3.78, 1 Ho 3.68
La 0.5000 0.5017 0.9986  8 La 3.66-3.67, 2 Ce 3.68-3.70, 2 Ho 3.68-3.70
La 0.5000 0.9986 0.5017  8 La 3.66-3.67, 2 Ce 3.68-3.70, 2 Ho 3.68-3.70
La 0.7433 0.2466 0.2466  1 Ce 3.63, 10 La 3.65-3.78, 1 Ho 3.68
La 0.7449 0.2468 0.7530  1 Ce 3.64, 10 La 3.65-3.76, 1 Ho 3.69
La 0.7449 0.7530 0.2468  1 Ce 3.64, 10 La 3.65-3.76, 1 Ho 3.69
La 0.7463 0.7528 0.7528  10 La 3.65-3.75, 1 Ce 3.65, 1 Ho 3.70
Ce 0.5000 0.0000 0.0000  12 La 3.63-3.70
Ho 0.5000 0.4999 0.4999  12 La 3.68-3.70

Values from the calculation:
space-group type	Amm2 (38)

***

Entry 9:
Computed, not measured: crystalline La2CeHo4 at its relaxed geometry at the PBE-GGA level of DFT.

abc: 3.6029 3.6029 20.4512
angles: 95.03 95.03 59.92
With the nearest neighbours (Å) after each atom.
Fractional coordinates of all 7 atoms:
La 0.0000 0.0000 0.0000  6 La 3.60, 6 Ho 3.63-3.68
La 0.0912 0.0912 0.2900  6 Ho 3.57-3.60, 6 La 3.60
Ce 0.1821 0.1821 0.5742  6 Ho 3.50-3.54, 6 Ce 3.60
Ho 0.2786 0.2786 0.8512  9 Ho 3.47-3.60, 3 La 3.65-3.68
Ho 0.3775 0.3775 0.1470  6 La 3.57-3.65, 6 Ho 3.60
Ho 0.8078 0.8078 0.4345  3 Ce 3.50-3.53, 3 La 3.60, 6 Ho 3.60
Ho 0.9003 0.9003 0.7148  9 Ho 3.47-3.60, 3 Ce 3.52-3.54

Values from the calculation:
space-group type	Cm (8)

***

Entry 10:
Computed, not measured: crystalline La8CeHo5 at its relaxed geometry at the PBE-GGA level of DFT.

abc: 8.5965 8.5967 8.6604
angles: 115.34 112.66 100.21
With the nearest neighbours (Å) after each atom.
Fractional coordinates of all 14 atoms:
La 0.0000 0.0000 0.0000  2 La 3.26-3.54, 1 Ce 3.30, 1 Ho 3.44
La 0.0091 0.2675 0.4719  1 Ce 2.95
La 0.1271 0.6614 0.9872  1 La 3.26, 1 Ce 3.37, 3 Ho 3.41-3.54
La 0.2091 0.8637 0.6889  4 La 3.46-3.87, 5 Ho 3.48-3.76
La 0.3680 0.1544 0.5124  3 La 3.33-3.63, 1 Ho 3.49
La 0.5200 0.6630 0.7855  3 La 3.46-3.76, 5 Ho 3.48-3.84
La 0.5824 0.8444 0.4556  1 Ce 2.88
La 0.7245 0.2612 0.0089  4 Ho 3.26-3.59, 1 Ce 3.31, 1 La 3.54
Ce 0.9154 0.1875 0.7314  2 La 2.88-2.95
Ho 0.1871 0.4849 0.2812  7 La 3.36-3.56, 1 Ho 3.39, 1 Ce 3.68
Ho 0.3911 0.3933 0.0053  3 La 3.26-3.58, 2 Ho 3.39-3.62, 1 Ce 3.44
Ho 0.5326 0.0467 0.1854  7 La 3.42-3.56, 1 Ho 3.44
Ho 0.7472 0.5304 0.4934  5 La 3.34-3.73, 2 Ho 3.44-3.62
Ho 0.8584 0.7607 0.2393  7 La 3.48-3.84, 2 Ho 3.74-3.79

Values from the calculation:
space-group type	P1 (1)

***

Entry 11:
Computed, not measured: crystalline La8CeHo3 at its relaxed geometry at the PBE-GGA level of DFT.

abc: 8.5415 8.5415 8.5415
angles: 118.05 118.05 93.42
With the nearest neighbours (Å) after each atom.
Fractional coordinates of all 12 atoms:
La 0.1208 0.1208 0.7600  2 La 2.98-3.32, 1 Ce 3.19
La 0.2112 0.2112 0.4665  1 Ce 2.91
La 0.2553 0.7888 0.0000  1 Ce 2.91
La 0.3607 0.3607 0.2400  2 La 2.98-3.32, 1 Ce 3.19
La 0.6393 0.8792 0.0000  2 La 2.98-3.32, 1 Ce 3.19
La 0.7447 0.7447 0.5335  1 Ce 2.91
La 0.7888 0.2553 0.0000  1 Ce 2.91
La 0.8792 0.6393 0.0000  2 La 2.98-3.32, 1 Ce 3.19
Ce 0.0000 0.0000 0.0000  8 La 2.91-3.19
Ho 0.2500 0.7500 0.5000  4 La 3.51
Ho 0.5000 0.5000 0.0000  8 La 3.33-3.38
Ho 0.7500 0.2500 0.5000  4 La 3.51

Values from the calculation:
space-group type	I-42m (121)

***

Entry 12:
Computed, not measured: crystalline LaCeHoLu at its relaxed geometry at the PBE-GGA level of DFT.

abc: 5.6854 5.6854 5.6854
angles: 60.00 60.00 60.00
With the nearest neighbours (Å) after each atom.
Fractional coordinates of all 4 atoms:
La 0.0000 0.0000 0.0000  4 Lu 3.48, 4 Ho 3.48
Ce 0.5000 0.5000 0.5000  4 Lu 3.48, 4 Ho 3.48
Ho 0.2500 0.2500 0.2500  4 La 3.48, 4 Ce 3.48
Lu 0.7500 0.7500 0.7500  4 La 3.48, 4 Ce 3.48

Values from the calculation:
space-group type	F-43m (216)

***

| no. | density of states at the Fermi level (states/eV/f.u.) | magnetization (μB/cell) | ΔE_f (eV/atom) |
| --- | --- | --- | --- |
| 1 | 14.8 | 1.02 | 0.19 |
| 2 | 24.9 | 2.59 | 0.54 |
| 3 | 21.0 | 0.98 | 0.03 |
| 4 | 8.6 | 0.07 | 0.06 |
| 5 | 8.5 | 0.75 | 0.07 |
| 6 | 6.3 | 0.00 | 0.07 |
| 7 | 8.2 | 0.69 | 0.18 |
| 8 | 32.0 | 1.38 | 0.02 |
| 9 | 13.2 | 0.98 | 0.05 |
| 10 | 23.3 | 0.02 | 0.15 |
| 11 | 21.3 | 0.00 | 0.47 |
| 12 | 8.8 | 0.55 | 0.14 |